[1]
{"formula": "Tc2BiB", "functional": "PBE", "state": "optimized geometry", "dft_energy_ev_per_atom": -7.05, "ef_ev_per_fu": 3.1, "lattice_angstrom": [[-2.396, 2.396, 6.668], [2.396, -2.396, 6.668], [2.396, 2.396, -6.668]], "species": ["Tc", "Tc", "Tc", "Tc", "Bi", "Bi", "B", "B"], "fractional_positions": [[0.375, 0.217, 0.342], [0.783, 0.125, 0.158], [0.875, 0.033, 0.658], [0.967, 0.625, 0.842], [0.250, 0.750, 0.500], [0.500, 0.500, 0.000], [0.000, 0.000, 0.000], [0.750, 0.250, 0.500]]}

[2]
{"formula": "TcBi3B", "functional": "PBE", "state": "optimized geometry", "dft_energy_ev_per_atom": -4.46, "ef_ev_per_fu": 6.4, "lattice_angstrom": [[4.963, 0.000, 0.000], [0.000, 4.963, 0.000], [0.000, 0.000, 4.963]], "species": ["Tc", "Bi", "Bi", "Bi", "B"], "fractional_positions": [[0.000, 0.000, 0.000], [0.000, 0.500, 0.500], [0.500, 0.000, 0.500], [0.500, 0.500, 0.000], [0.500, 0.500, 0.500]]}

[3]
{"formula": "TcBi2B", "functional": "PBE", "state": "optimized geometry", "dft_energy_ev_per_atom": -5.04, "ef_ev_per_fu": 4.7, "lattice_angstrom": [[-3.085, 3.085, 5.305], [3.085, -3.085, 5.305], [3.085, 3.085, -5.305]], "species": ["Tc", "Tc", "Bi", "Bi", "Bi", "Bi", "B", "B"], "fractional_positions": [[0.000, 0.000, 0.000], [0.750, 0.250, 0.500], [0.168, 0.625, 0.043], [0.375, 0.418, 0.543], [0.582, 0.125, 0.957], [0.875, 0.832, 0.457], [0.250, 0.750, 0.500], [0.500, 0.500, 0.000]]}

[4]
{"formula": "TcBiB2", "functional": "PBE", "state": "optimized geometry", "dft_energy_ev_per_atom": -6.08, "ef_ev_per_fu": 3.3, "lattice_angstrom": [[-2.622, 2.622, 5.123], [2.622, -2.622, 5.123], [2.622, 2.622, -5.123]], "species": ["Tc", "Tc", "Bi", "Bi", "B", "B", "B", "B"], "fractional_positions": [[0.000, 0.000, 0.000], [0.750, 0.250, 0.500], [0.250, 0.750, 0.500], [0.500, 0.500, 0.000], [0.045, 0.625, 0.920], [0.375, 0.295, 0.420], [0.705, 0.125, 0.080], [0.875, 0.955, 0.580]]}

[5]
{"formula": "TcBi3B", "functional": "PBE", "state": "optimized geometry", "dft_energy_ev_per_atom": -4.34, "ef_ev_per_fu": 7.0, "lattice_angstrom": [[5.280, 0.000, 0.000], [0.000, 5.280, 0.000], [0.000, 0.000, 5.280]], "species": ["Tc", "Bi", "Bi", "Bi", "B"], "fractional_positions": [[0.000, 0.000, 0.000], [0.000, 0.000, 0.500], [0.000, 0.500, 0.000], [0.500, 0.000, 0.000], [0.500, 0.500, 0.500]]}

[6]
{"formula": "Tc3BiB", "functional": "PBE", "state": "optimized geometry", "dft_energy_ev_per_atom": -5.11, "ef_ev_per_fu": 16.1, "lattice_angstrom": [[5.098, 0.000, 0.000], [0.000, 5.098, 0.000], [0.000, 0.000, 5.098]], "species": ["Tc", "Tc", "Tc", "Bi", "B"], "fractional_positions": [[0.000, 0.000, 0.500], [0.000, 0.500, 0.000], [0.500, 0.000, 0.000], [0.000, 0.000, 0.000], [0.500, 0.500, 0.500]]}

[7]
{"formula": "Tc3BiB", "functional": "PBE", "state": "optimized geometry", "dft_energy_ev_per_atom": -8.00, "ef_ev_per_fu": 1.7, "lattice_angstrom": [[4.245, 0.000, 0.000], [0.000, 4.245, 0.000], [0.000, 0.000, 4.245]], "species": ["Tc", "Tc", "Tc", "Bi", "B"], "fractional_positions": [[0.000, 0.000, 0.500], [0.000, 0.500, 0.000], [0.500, 0.000, 0.000], [0.500, 0.500, 0.500], [0.000, 0.000, 0.000]]}

[8]
{"formula": "YTcBi2B", "functional": "PBE", "state": "optimized geometry", "dft_energy_ev_per_atom": -5.44, "ef_ev_per_fu": 4.1, "lattice_angstrom": [[4.987, 0.000, 0.000], [0.000, 4.987, 0.000], [0.000, 0.000, 4.735]], "species": ["Y", "Tc", "Bi", "Bi", "B"], "fractional_positions": [[0.000, 0.000, 0.000], [0.500, 0.500, 0.000], [0.000, 0.500, 0.500], [0.500, 0.000, 0.500], [0.000, 0.000, 0.500]]}

[9]
{"formula": "Bi3BTe", "functional": "PBE", "state": "optimized geometry", "dft_energy_ev_per_atom": -3.61, "formation_energy_uncorrected_ev_per_atom": 0.680, "lattice_angstrom": [[5.138, 0.000, 0.000], [0.000, 5.138, 0.000], [0.000, 0.000, 5.138]], "species": ["Bi", "Bi", "Bi", "B", "Te"], "fractional_positions": [[0.000, 0.000, 0.500], [0.000, 0.500, 0.000], [0.500, 0.000, 0.000], [0.000, 0.000, 0.000], [0.500, 0.500, 0.500]]}

[10]
{"formula": "BiBTe2", "functional": "PBE", "state": "optimized geometry", "dft_energy_ev_per_atom": -3.61, "formation_energy_uncorrected_ev_per_atom": 0.596, "lattice_angstrom": [[1.808, 1.044, 8.345], [-1.808, 1.044, 8.345], [0.000, -2.088, 8.345]], "species": ["Bi", "B", "Te", "Te"], "fractional_positions": [[0.000, 0.000, 0.000], [0.500, 0.500, 0.500], [0.224, 0.224, 0.224], [0.776, 0.776, 0.776]]}

[11]
{"formula": "Bi3BTe", "functional": "PBE", "state": "optimized geometry", "dft_energy_ev_per_atom": -2.63, "formation_energy_uncorrected_ev_per_atom": 1.659, "lattice_angstrom": [[5.895, 0.000, 0.000], [0.000, 5.895, 0.000], [0.000, 0.000, 5.895]], "species": ["Bi", "Bi", "Bi", "B", "Te"], "fractional_positions": [[0.000, 0.000, 0.500], [0.000, 0.500, 0.000], [0.500, 0.000, 0.000], [0.500, 0.500, 0.500], [0.000, 0.000, 0.000]]}

[12]
{"formula": "Bi2BTe", "functional": "PBE", "state": "optimized geometry", "dft_energy_ev_per_atom": -3.35, "formation_energy_uncorrected_ev_per_atom": 1.044, "lattice_angstrom": [[0.000, 3.721, 3.721], [3.721, 0.000, 3.721], [3.721, 3.721, 0.000]], "species": ["Bi", "Bi", "B", "Te"], "fractional_positions": [[0.250, 0.250, 0.250], [0.750, 0.750, 0.750], [0.000, 0.000, 0.000], [0.500, 0.500, 0.500]]}

[13]
{"formula": "BiBTe2", "functional": "PBE", "state": "optimized geometry", "dft_energy_ev_per_atom": -3.72, "formation_energy_uncorrected_ev_per_atom": 0.492, "lattice_angstrom": [[-3.428, 3.428, 4.810], [3.428, -3.428, 4.810], [3.428, 3.428, -4.810]], "species": ["Bi", "Bi", "B", "B", "Te", "Te", "Te", "Te"], "fractional_positions": [[0.000, 0.000, 0.000], [0.750, 0.250, 0.500], [0.250, 0.750, 0.500], [0.500, 0.500, 0.000], [0.221, 0.625, 0.096], [0.375, 0.471, 0.596], [0.529, 0.125, 0.904], [0.875, 0.779, 0.404]]}

[14]
{"formula": "BiBTe2", "functional": "PBE", "state": "optimized geometry", "dft_energy_ev_per_atom": -3.17, "formation_energy_uncorrected_ev_per_atom": 1.042, "lattice_angstrom": [[0.000, 3.729, 3.729], [3.729, 0.000, 3.729], [3.729, 3.729, 0.000]], "species": ["Bi", "B", "Te", "Te"], "fractional_positions": [[0.000, 0.000, 0.000], [0.500, 0.500, 0.500], [0.250, 0.250, 0.250], [0.750, 0.750, 0.750]]}

[15]
{"formula": "Bi2BTe", "functional": "PBE", "state": "optimized geometry", "dft_energy_ev_per_atom": -3.80, "formation_energy_uncorrected_ev_per_atom": 0.598, "lattice_angstrom": [[-3.515, 3.515, 4.752], [3.515, -3.515, 4.752], [3.515, 3.515, -4.752]], "species": ["Bi", "Bi", "Bi", "Bi", "B", "B", "Te", "Te"], "fractional_positions": [[0.041, 0.625, 0.916], [0.375, 0.291, 0.416], [0.709, 0.125, 0.084], [0.875, 0.959, 0.584], [0.000, 0.000, 0.000], [0.750, 0.250, 0.500], [0.250, 0.750, 0.500], [0.500, 0.500, 0.000]]}

[16]
{"formula": "BiBTe2", "functional": "PBE", "state": "optimized geometry", "dft_energy_ev_per_atom": -3.51, "formation_energy_uncorrected_ev_per_atom": 0.703, "lattice_angstrom": [[2.141, 1.236, 8.563], [-2.141, 1.236, 8.563], [0.000, -2.472, 8.563]], "species": ["Bi", "B", "Te", "Te"], "fractional_positions": [[0.000, 0.000, 0.000], [0.500, 0.500, 0.500], [0.419, 0.419, 0.419], [0.581, 0.581, 0.581]]}

[17]
{"formula": "Bi2BTe2", "functional": "PBE", "state": "optimized geometry", "dft_energy_ev_per_atom": -3.39, "formation_energy_uncorrected_ev_per_atom": 0.756, "lattice_angstrom": [[7.809, 0.000, 0.000], [0.000, 7.809, 0.000], [0.000, 0.000, 4.741]], "species": ["Bi", "Bi", "Bi", "Bi", "B", "B", "Te", "Te", "Te", "Te"], "fractional_positions": [[0.175, 0.325, 0.000], [0.325, 0.825, 0.000], [0.675, 0.175, 0.000], [0.825, 0.675, 0.000], [0.000, 0.000, 0.000], [0.500, 0.500, 0.000], [0.155, 0.655, 0.500], [0.345, 0.155, 0.500], [0.655, 0.845, 0.500], [0.845, 0.345, 0.500]]}

[18]
{"formula": "Bi2BTe2", "functional": "PBE", "state": "optimized geometry", "dft_energy_ev_per_atom": -3.48, "formation_energy_uncorrected_ev_per_atom": 0.668, "lattice_angstrom": [[-3.193, 3.193, 4.171], [3.193, -3.193, 4.171], [3.193, 3.193, -4.171]], "species": ["Bi", "Bi", "B", "Te", "Te"], "fractional_positions": [[0.224, 0.224, 0.000], [0.776, 0.776, 0.000], [0.500, 0.500, 0.000], [0.250, 0.750, 0.500], [0.750, 0.250, 0.500]]}

[19]
{"formula": "YBiB2Te", "functional": "PBE", "state": "optimized geometry", "dft_energy_ev_per_atom": -4.04, "formation_energy_uncorrected_ev_per_atom": 1.324, "lattice_angstrom": [[4.846, 0.000, 0.000], [0.000, 4.846, 0.000], [0.000, 0.000, 5.844]], "species": ["Y", "Bi", "B", "B", "Te"], "fractional_positions": [[0.000, 0.000, 0.000], [0.500, 0.500, 0.500], [0.000, 0.500, 0.000], [0.500, 0.000, 0.000], [0.000, 0.000, 0.500]]}

[20]
{"formula": "Ti8Bi2B", "functional": "PBE", "state": "optimized geometry", "dft_energy_ev_per_atom": -7.11, "ef_ev_per_fu": -0.6, "lattice_angstrom": [[7.860, -2.275, 0.000], [7.860, 2.275, 0.000], [-1.686, 0.000, 5.414]], "species": ["Ti", "Ti", "Ti", "Ti", "Ti", "Ti", "Ti", "Ti", "Bi", "Bi", "B"], "fractional_positions": [[0.003, 0.003, 0.235], [0.220, 0.220, 0.118], [0.369, 0.369, 0.744], [0.423, 0.423, 0.274], [0.577, 0.577, 0.726], [0.631, 0.631, 0.256], [0.780, 0.780, 0.882], [0.997, 0.997, 0.765], [0.171, 0.171, 0.601], [0.829, 0.829, 0.399], [0.500, 0.500, 0.000]]}

[21]
{"formula": "TiBi3B", "functional": "PBE", "state": "optimized geometry", "dft_energy_ev_per_atom": -4.29, "ef_ev_per_fu": 4.8, "lattice_angstrom": [[5.011, 0.000, 0.000], [0.000, 5.011, 0.000], [0.000, 0.000, 5.011]], "species": ["Ti", "Bi", "Bi", "Bi", "B"], "fractional_positions": [[0.000, 0.000, 0.000], [0.000, 0.500, 0.500], [0.500, 0.000, 0.500], [0.500, 0.500, 0.000], [0.500, 0.500, 0.500]]}

[22]
{"formula": "TiBiB3", "functional": "PBE", "state": "optimized geometry", "dft_energy_ev_per_atom": -3.82, "ef_ev_per_fu": 12.7, "lattice_angstrom": [[4.565, 0.000, 0.000], [0.000, 4.565, 0.000], [0.000, 0.000, 4.565]], "species": ["Ti", "Bi", "B", "B", "B"], "fractional_positions": [[0.000, 0.000, 0.000], [0.500, 0.500, 0.500], [0.000, 0.500, 0.500], [0.500, 0.000, 0.500], [0.500, 0.500, 0.000]]}

[23]
{"formula": "Ti5BiB", "functional": "PBE", "state": "optimized geometry", "dft_energy_ev_per_atom": -7.21, "ef_ev_per_fu": -0.4, "lattice_angstrom": [[-2.329, 2.959, 4.290], [2.329, -2.959, 4.290], [2.329, 2.959, -4.290]], "species": ["Ti", "Ti", "Ti", "Ti", "Ti", "Bi", "B"], "fractional_positions": [[0.000, 0.000, 0.000], [0.074, 0.323, 0.750], [0.427, 0.677, 0.750], [0.573, 0.323, 0.250], [0.926, 0.677, 0.250], [0.500, 0.000, 0.500], [0.000, 0.500, 0.500]]}

[24]
{"formula": "TiBiB3", "functional": "PBE", "state": "optimized geometry", "dft_energy_ev_per_atom": -5.06, "ef_ev_per_fu": 6.5, "lattice_angstrom": [[4.257, 0.000, 0.000], [0.000, 4.257, 0.000], [0.000, 0.000, 4.257]], "species": ["Ti", "Bi", "B", "B", "B"], "fractional_positions": [[0.000, 0.000, 0.000], [0.500, 0.500, 0.500], [0.000, 0.000, 0.500], [0.000, 0.500, 0.000], [0.500, 0.000, 0.000]]}

[25]
{"formula": "Ti4Bi2B", "functional": "PBE", "state": "optimized geometry", "dft_energy_ev_per_atom": -6.87, "ef_ev_per_fu": -2.1, "lattice_angstrom": [[-2.141, 2.141, 7.285], [2.141, -2.141, 7.285], [2.141, 2.141, -7.285]], "species": ["Ti", "Ti", "Ti", "Ti", "Bi", "Bi", "B"], "fractional_positions": [[0.000, 0.500, 0.500], [0.149, 0.149, 0.000], [0.500, 0.000, 0.500], [0.851, 0.851, 0.000], [0.351, 0.351, 0.000], [0.649, 0.649, 0.000], [0.000, 0.000, 0.000]]}

[26]
{"formula": "Ti6Bi3B", "functional": "PBE", "state": "optimized geometry", "dft_energy_ev_per_atom": -6.61, "ef_ev_per_fu": -0.5, "lattice_angstrom": [[6.152, -6.424, 0.000], [6.152, 6.424, 0.000], [0.000, 0.000, 4.738]], "species": ["Ti", "Ti", "Ti", "Ti", "Ti", "Ti", "Ti", "Ti", "Ti", "Ti", "Ti", "Ti", "Bi", "Bi", "Bi", "Bi", "Bi", "Bi", "B", "B"], "fractional_positions": [[0.000, 0.000, 0.000], [0.000, 0.000, 0.500], [0.054, 0.614, 0.250], [0.220, 0.780, 0.750], [0.273, 0.449, 0.750], [0.386, 0.946, 0.250], [0.449, 0.273, 0.250], [0.551, 0.727, 0.750], [0.614, 0.054, 0.750], [0.727, 0.551, 0.250], [0.780, 0.220, 0.250], [0.946, 0.386, 0.750], [0.112, 0.300, 0.250], [0.300, 0.112, 0.750], [0.385, 0.615, 0.250], [0.615, 0.385, 0.750], [0.700, 0.888, 0.250], [0.888, 0.700, 0.750], [0.156, 0.844, 0.250], [0.844, 0.156, 0.750]]}